Here is a geometry-optimized LiMnF3 structure from Alexandria. Energies are from PBE with a Hubbard U.

Values from the calculation:
relative energy among the computed polymorphs	0.224	eV per formula unit
DOS at the Fermi energy	0.0000	states/eV/atom
space group	No. 163
E	-0.4210	Ry per atom

a b c (Å): 5.4016 5.4016 9.7935
angles (deg): 90.00 90.00 120.00
Closest atoms and distances in Å follow each position.
Positions (direct):
F 0.6600 0.6688 0.1289  1 Li 1.94, 2 Mn 2.12-2.17
Li 0.3333 0.6667 0.9373  3 F 1.94
Li 0.6667 0.3333 0.4373  3 F 1.94
F 0.6688 0.6600 0.6289  1 Li 1.94, 2 Mn 2.12-2.17
F 0.3312 0.9911 0.1289  1 Li 1.94, 2 Mn 2.12-2.17
F 0.6688 0.0089 0.8711  1 Li 1.94, 2 Mn 2.12-2.17
Mn 0.3333 0.6667 0.2500  6 F 2.12
F 0.0089 0.6688 0.3711  1 Li 1.94, 2 Mn 2.12-2.17
Li 0.3333 0.6667 0.5627  3 F 1.94
F 0.9911 0.3312 0.6289  1 Li 1.94, 2 Mn 2.12-2.17
Mn 0.0000 0.0000 0.7500  6 F 2.17
F 0.3312 0.3400 0.3711  1 Li 1.94, 2 Mn 2.12-2.17
F 0.3400 0.3312 0.8711  1 Li 1.94, 2 Mn 2.12-2.17
F 0.3400 0.0089 0.6289  1 Li 1.94, 2 Mn 2.12-2.17
Li 0.6667 0.3333 0.0627  3 F 1.94
Mn 0.0000 0.0000 0.2500  6 F 2.17
F 0.6600 0.9911 0.3711  1 Li 1.94, 2 Mn 2.12-2.17
F 0.9911 0.6600 0.8711  1 Li 1.94, 2 Mn 2.12-2.17
Mn 0.6667 0.3333 0.7500  6 F 2.12
F 0.0089 0.3400 0.1289  1 Li 1.94, 2 Mn 2.12-2.17